# 1
The following is a DFT calculation (PBE-GGA) of a geometry-optimized Tb4Pm3Er4 structure.

abc: 3.492 5.642 18.204
angles: 81.12 84.51 90.00
Positions (direct):
1 Tb 0.045 0.047 0.408
2 Tb 0.181 0.682 0.137
3 Tb 0.819 0.318 0.863
4 Tb 0.955 0.953 0.592
5 Pm 0.363 0.863 0.774
6 Pm 0.500 0.500 0.500
7 Pm 0.637 0.137 0.226
8 Er 0.091 0.592 0.318
9 Er 0.234 0.234 0.032
10 Er 0.766 0.766 0.968
11 Er 0.909 0.408 0.682

- ΔE to the lowest computed polymorph: 0.00 eV/f.u.
- Total energy: -4.58 eV/atom
- Total moment: 0.0 μB per cell
- DOS at the Fermi energy: 1.491 states/eV/atom
- Energy of formation: 0.604 eV/f.u.
- SG: P-1, No. 2

***

# 2
The following is a DFT calculation (PBE-GGA) of a geometry-optimized TbPm12Er2 structure.

abc: 6.775 6.775 24.920
angles: 93.46 93.46 116.47
Positions (direct):
1 Tb 0.243 0.243 0.484
2 Tb 0.757 0.757 0.516
3 Pm 0.042 0.576 0.827
4 Pm 0.092 0.526 0.700
5 Pm 0.133 0.133 0.075
6 Pm 0.141 0.141 0.619
7 Pm 0.161 0.629 0.056
8 Pm 0.257 0.698 0.570
9 Pm 0.302 0.743 0.430
10 Pm 0.321 0.321 0.337
11 Pm 0.331 0.331 0.923
12 Pm 0.371 0.839 0.944
13 Pm 0.424 0.958 0.173
14 Pm 0.474 0.908 0.300
15 Pm 0.526 0.092 0.700
16 Pm 0.576 0.042 0.827
17 Pm 0.629 0.161 0.056
18 Pm 0.669 0.669 0.077
19 Pm 0.679 0.679 0.663
20 Pm 0.698 0.257 0.570
21 Pm 0.743 0.302 0.430
22 Pm 0.839 0.371 0.944
23 Pm 0.859 0.859 0.381
24 Pm 0.867 0.867 0.925
25 Pm 0.908 0.474 0.300
26 Pm 0.958 0.424 0.173
27 Er 0.050 0.050 0.774
28 Er 0.466 0.466 0.206
29 Er 0.534 0.534 0.794
30 Er 0.950 0.950 0.226

- Total energy: -4.61 eV/atom
- Total moment: 0.0 μB per cell
- DOS at the Fermi energy: 1.271 states/eV/atom
- Energy of formation: 1.569 eV/f.u.
- SG: C2/m, No. 12

***

# 3
The following is a DFT calculation (PBE-GGA) of a geometry-optimized Tb12PmEr3 structure.

abc: 5.028 5.028 20.109
angles: 90.00 90.00 90.00
Positions (direct):
1 Tb 0.000 0.000 0.000
2 Tb 0.000 0.000 0.248
3 Tb 0.000 0.000 0.500
4 Tb 0.000 0.000 0.752
5 Tb 0.000 0.500 0.124
6 Tb 0.000 0.500 0.373
7 Tb 0.000 0.500 0.627
8 Tb 0.000 0.500 0.876
9 Tb 0.500 0.000 0.124
10 Tb 0.500 0.000 0.373
11 Tb 0.500 0.000 0.627
12 Tb 0.500 0.000 0.876
13 Pm 0.500 0.500 0.500
14 Er 0.500 0.500 0.000
15 Er 0.500 0.500 0.249
16 Er 0.500 0.500 0.751

- Total energy: -4.61 eV/atom
- Total moment: 0.0 μB per cell
- DOS at the Fermi energy: 1.346 states/eV/atom
- Energy of formation: 0.285 eV/f.u.
- SG: P4/mmm, No. 123